# Cd3Au, optimized geometry, DFT PBE
data_Cd3Au
_cell_length_a 4.811
_cell_length_b 6.403
_cell_length_c 5.320
_cell_angle_alpha 90.00
_cell_angle_beta 90.00
_cell_angle_gamma 90.00
_symmetry_space_group_name_H-M 'P m m n'
_symmetry_Int_Tables_number 59
loop_
_symmetry_equiv_pos_as_xyz
'x,y,z'
'-x,-y,-z'
'-x+1/2,-y+1/2,z'
'x+1/2,y+1/2,-z'
'x+1/2,-y,-z'
'-x+1/2,y,z'
'-x,y+1/2,-z'
'x,-y+1/2,z'
loop_
_atom_site_label
_atom_site_type_symbol
_atom_site_fract_x
_atom_site_fract_y
_atom_site_fract_z
Cd1 Cd 0.250 0.002 0.171
Cd2 Cd 0.250 0.750 0.651
Au1 Au 0.250 0.250 0.676
# size of the total moment	0.00	μB/atom
# D(E_F)	1.03	states/eV per cell
# energy of formation from the pure elements	-0.1168	eV/atom